No. 1
Entry from Alexandria: a geometry-optimized K2NaHgCl6 structure (GGA-PBE).

Values from the calculation:
symmetry: No. 2
formation energy (no corrections): -1.250 eV per atom
theoretical density: 2.94 g cm⁻³

abc: 6.8474 7.1274 7.4924
angles: 93.11 114.09 115.04
Sites, in units of the cell vectors:
K: 0.0384 0.2814 0.2721
K: 0.9616 0.7186 0.7279
Na: 0.5000 0.5000 0.0000
Hg: 0.5000 0.0000 0.5000
Cl: 0.9999 0.2723 0.8375
Cl: 0.0001 0.7277 0.1625
Cl: 0.3371 0.1510 0.6817
Cl: 0.4223 0.6902 0.6684
Cl: 0.5777 0.3098 0.3316
Cl: 0.6629 0.8490 0.3183



No. 2
Entry from Alexandria: a geometry-optimized K3Na3HgCl8 structure (GGA-PBE).

Values from the calculation:
symmetry: No. 166
formation energy (no corrections): -1.617 eV per atom
theoretical density: 2.57 g cm⁻³

abc: 8.6484 8.6484 8.6484
angles: 57.69 57.69 57.69
Sites, in units of the cell vectors:
K: 0.0000 0.5000 0.5000
K: 0.5000 0.0000 0.5000
K: 0.5000 0.5000 0.0000
Na: 0.0000 0.0000 0.5000
Na: 0.0000 0.5000 0.0000
Na: 0.5000 0.0000 0.0000
Hg: 0.5000 0.5000 0.5000
Cl: 0.2407 0.2407 0.2407
Cl: 0.2528 0.7286 0.7286
Cl: 0.2714 0.2714 0.7472
Cl: 0.2714 0.7472 0.2714
Cl: 0.7286 0.2528 0.7286
Cl: 0.7286 0.7286 0.2528
Cl: 0.7472 0.2714 0.2714
Cl: 0.7593 0.7593 0.7593



No. 3
Entry from Alexandria: a geometry-optimized K3NiHg2Cl9 structure (GGA-PBE).

Values from the calculation:
symmetry: No. 164
formation energy (no corrections): -1.081 eV per atom
theoretical density: 3.61 g cm⁻³

abc: 7.3047 7.3047 8.9328
angles: 90.00 90.00 120.00
Sites, in units of the cell vectors:
K: 0.0000 0.0000 0.0000
K: 0.3333 0.6667 0.6685
K: 0.6667 0.3333 0.3315
Ni: 0.0000 0.0000 0.5000
Hg: 0.3333 0.6667 0.1824
Hg: 0.6667 0.3333 0.8176
Cl: 0.0000 0.5000 0.0000
Cl: 0.1557 0.3114 0.3447
Cl: 0.1557 0.8443 0.3447
Cl: 0.3114 0.1557 0.6553
Cl: 0.5000 0.0000 0.0000
Cl: 0.5000 0.5000 0.0000
Cl: 0.6886 0.8443 0.3447
Cl: 0.8443 0.1557 0.6553
Cl: 0.8443 0.6886 0.6553



No. 4
Entry from Alexandria: a geometry-optimized K3Ni2HgCl9 structure (GGA-PBE).

Values from the calculation:
symmetry: No. 164
formation energy (no corrections): -1.072 eV per atom
theoretical density: 3.40 g cm⁻³

abc: 6.9867 6.9867 8.7086
angles: 90.00 90.00 120.00
Sites, in units of the cell vectors:
K: 0.0000 0.0000 0.0000
K: 0.3333 0.6667 0.6822
K: 0.6667 0.3333 0.3178
Ni: 0.3333 0.6667 0.1556
Ni: 0.6667 0.3333 0.8444
Hg: 0.0000 0.0000 0.5000
Cl: 0.0000 0.5000 0.0000
Cl: 0.1761 0.3522 0.3121
Cl: 0.1761 0.8239 0.3121
Cl: 0.3522 0.1761 0.6879
Cl: 0.5000 0.0000 0.0000
Cl: 0.5000 0.5000 0.0000
Cl: 0.6478 0.8239 0.3121
Cl: 0.8239 0.1761 0.6879
Cl: 0.8239 0.6478 0.6879



No. 5
Entry from Alexandria: a geometry-optimized KNpHgCl6 structure (GGA-PBE).

Values from the calculation:
symmetry: No. 5
formation energy (no corrections): -1.428 eV per atom
theoretical density: 2.90 g cm⁻³

abc: 7.7576 7.7576 7.5807
angles: 90.03 90.03 120.02
Sites, in units of the cell vectors:
K: 0.0000 0.0000 0.0000
Np: 0.6668 0.3332 0.0000
Hg: 0.3335 0.6665 0.5000
Cl: 0.3974 0.0674 0.8077
Cl: 0.3979 0.3296 0.1927
Cl: 0.6705 0.0681 0.1925
Cl: 0.6704 0.6021 0.8073
Cl: 0.9319 0.3295 0.8075
Cl: 0.9326 0.6026 0.1923



No. 6
Entry from Alexandria: a geometry-optimized KHgClO structure (GGA-PBE).

Values from the calculation:
symmetry: No. 25
formation energy (no corrections): -0.859 eV per atom
theoretical density: 4.03 g cm⁻³

abc: 3.8388 4.2644 7.3308
angles: 90.00 90.00 90.00
Sites, in units of the cell vectors:
K: 0.0000 0.0000 0.0000
Hg: 0.0000 0.0000 0.4777
Cl: 0.5000 0.5000 0.8546
O: 0.5000 0.0000 0.3899



No. 7
Entry from Alexandria: a geometry-optimized K7HgCl2O2 structure (GGA-PBE).

Values from the calculation:
symmetry: No. 71
formation energy (no corrections): -1.127 eV per atom
theoretical density: 2.39 g cm⁻³

abc: 12.9076 12.9076 12.9076
angles: 154.50 154.32 36.50
Sites, in units of the cell vectors:
K: 0.0000 0.0000 0.0000
K: 0.1140 0.6140 0.5000
K: 0.2122 0.2122 0.0000
K: 0.3867 0.8867 0.5000
K: 0.6133 0.1133 0.5000
K: 0.7878 0.7878 0.0000
K: 0.8860 0.3860 0.5000
Hg: 0.5000 0.5000 0.0000
Cl: 0.2515 0.7515 0.5000
Cl: 0.7485 0.2485 0.5000
O: 0.1070 0.1070 0.0000
O: 0.8930 0.8930 0.0000



No. 8
Entry from Alexandria: a geometry-optimized K2HgSCl2O4 structure (GGA-PBE).

Values from the calculation:
symmetry: No. 2
formation energy (no corrections): -1.277 eV per atom
theoretical density: 3.33 g cm⁻³

abc: 6.1174 7.5152 10.7014
angles: 98.19 90.25 113.92
Sites, in units of the cell vectors:
K: 0.0015 0.9998 0.2144
K: 0.3105 0.6179 0.3876
K: 0.6895 0.3821 0.6124
K: 0.9985 0.0002 0.7856
Hg: 0.3402 0.6804 0.9418
Hg: 0.6597 0.3196 0.0582
S: 0.2953 0.5976 0.7089
S: 0.7047 0.4024 0.2911
Cl: 0.1604 0.3193 0.0382
Cl: 0.4356 0.8689 0.1599
Cl: 0.5644 0.1311 0.8401
Cl: 0.8396 0.6807 0.9618
O: 0.1022 0.0028 0.4994
O: 0.1376 0.6832 0.6588
O: 0.1836 0.3780 0.6772
O: 0.4629 0.3197 0.3421
O: 0.5371 0.6803 0.6579
O: 0.8164 0.6220 0.3228
O: 0.8624 0.3168 0.3412
O: 0.8978 0.9972 0.5006



No. 9
Entry from Alexandria: a geometry-optimized K2Hg2SCl4O3 structure (GGA-PBE).

Values from the calculation:
symmetry: No. 11
formation energy (no corrections): -1.242 eV per atom
theoretical density: 3.96 g cm⁻³

abc: 9.8490 6.1061 10.4782
angles: 90.00 110.87 90.00
Sites, in units of the cell vectors:
K: 0.0956 0.2500 0.1764
K: 0.3762 0.7500 0.0680
K: 0.6238 0.2500 0.9320
K: 0.9044 0.7500 0.8236
Hg: 0.0976 0.2500 0.6355
Hg: 0.3863 0.7500 0.5252
Hg: 0.6137 0.2500 0.4748
Hg: 0.9024 0.7500 0.3645
S: 0.1966 0.2500 0.8853
S: 0.8034 0.7500 0.1147
Cl: 0.0718 0.7500 0.6047
Cl: 0.2193 0.7500 0.2931
Cl: 0.3444 0.2500 0.5361
Cl: 0.4810 0.2500 0.2360
Cl: 0.5190 0.7500 0.7640
Cl: 0.6556 0.7500 0.4639
Cl: 0.7807 0.2500 0.7069
Cl: 0.9282 0.2500 0.3953
O: 0.1435 0.0491 0.9333
O: 0.1435 0.4509 0.9333
O: 0.3562 0.2500 0.9250
O: 0.6438 0.7500 0.0750
O: 0.8565 0.5491 0.0667
O: 0.8565 0.9509 0.0667



No. 10
Entry from Alexandria: a geometry-optimized KHgOsCl6 structure (GGA-PBE).

Values from the calculation:
symmetry: No. 163
formation energy (no corrections): -0.723 eV per atom
theoretical density: 3.52 g cm⁻³

abc: 7.7190 7.7190 11.7493
angles: 90.00 90.00 120.00
Sites, in units of the cell vectors:
K: 0.3333 0.6667 0.2500
K: 0.6667 0.3333 0.7500
Hg: 0.0000 0.0000 0.0000
Hg: 0.0000 0.0000 0.5000
Os: 0.3333 0.6667 0.7500
Os: 0.6667 0.3333 0.2500
Cl: 0.0843 0.4241 0.6346
Cl: 0.0843 0.6602 0.8654
Cl: 0.3398 0.4241 0.8654
Cl: 0.3398 0.9157 0.6346
Cl: 0.4241 0.0843 0.1346
Cl: 0.4241 0.3398 0.3654
Cl: 0.5759 0.6602 0.6346
Cl: 0.5759 0.9157 0.8654
Cl: 0.6602 0.0843 0.3654
Cl: 0.6602 0.5759 0.1346
Cl: 0.9157 0.3398 0.1346
Cl: 0.9157 0.5759 0.3654



No. 11
Entry from Alexandria: a geometry-optimized KHgP2Cl structure (GGA-PBE).

Values from the calculation:
symmetry: No. 123
formation energy (no corrections): 0.807 eV per atom
theoretical density: 1.89 g cm⁻³

abc: 7.2028 7.2028 5.7211
angles: 90.00 90.00 90.00
Sites, in units of the cell vectors:
K: 0.0000 0.0000 0.0000
Hg: 0.5000 0.5000 0.5000
P: 0.0000 0.5000 0.0000
P: 0.5000 0.0000 0.0000
Cl: 0.0000 0.0000 0.5000



No. 12
Entry from Alexandria: a geometry-optimized KHgP2Cl structure (GGA-PBE).

Values from the calculation:
symmetry: No. 123
formation energy (no corrections): 0.227 eV per atom
theoretical density: 3.53 g cm⁻³

abc: 4.9884 4.9884 6.3652
angles: 90.00 90.00 90.00
Sites, in units of the cell vectors:
K: 0.0000 0.0000 0.0000
Hg: 0.5000 0.5000 0.5000
P: 0.0000 0.5000 0.5000
P: 0.5000 0.0000 0.5000
Cl: 0.5000 0.5000 0.0000